AlIn4Co | PBE-GGA | relaxed

The structure in CIF format:
```
data_AlIn4Co
_symmetry_space_group_name_H-M 'F -4 3 m'
_symmetry_Int_Tables_number 216
_symmetry_space_group_name_Hall 'F -4 2 3'
_cell_length_a 8.366
_cell_length_b 8.366
_cell_length_c 8.366
_cell_angle_alpha 90.00
_cell_angle_beta 90.00
_cell_angle_gamma 90.00
loop_
_atom_site_label
_atom_site_fract_x
_atom_site_fract_y
_atom_site_fract_z
Al1 0.000 0.000 0.000
In1 0.125 0.125 0.375
Co1 0.250 0.250 0.750
```

- Raw total energy: -2.959 eV per atom
- N(E_F): 16.12 states/eV/cell
- Formation energy from the elements: 0.674 eV/atom

---

HfNiS3 | PBE-GGA | relaxed

The structure in CIF format:
```
data_HfNiS3
_symmetry_space_group_name_H-M 'P m -3 m'
_symmetry_Int_Tables_number 221
_symmetry_space_group_name_Hall '-P 4 2 3'
_cell_length_a 4.886
_cell_length_b 4.886
_cell_length_c 4.886
_cell_angle_alpha 90.00
_cell_angle_beta 90.00
_cell_angle_gamma 90.00
loop_
_atom_site_label
_atom_site_fract_x
_atom_site_fract_y
_atom_site_fract_z
Hf1 0.000 0.000 0.000
Ni1 0.500 0.500 0.500
S1 0.000 0.000 0.500
```

- Raw total energy: -5.650 eV per atom
- N(E_F): 10.40 states/eV/cell
- Formation energy from raw total energies: -0.026 eV/atom
- Distance to the lowest polymorph of the same formula: 11.81 kJ/mol of atoms

---

Total moment (μB per atom)
0.3057 0.3668